[1]
ScFeP2 | SCAN | single point on PBEsol structure

Cell: 4.2592 4.2592 4.2592 Å, 60.00 60.00 60.00°
Fractional coordinates of all 4 atoms:
P: 0.2500 0.2500 0.2500
Sc: 0.5000 0.5000 0.5000
P: 0.7500 0.7500 0.7500
Fe: 0.0000 0.0000 0.0000

- energy of formation (eV/atom) = -0.357
- mass density (g/cm3) = 4.9
- V (Å³/atom) = 13.7
- symmetry = Fm-3m
- offset from the most stable computed form (eV/atom) = 0.207

***

[2]
Fe2PSe | SCAN | single point on PBEsol structure

Cell: 2.8085 3.1639 6.1898 Å, 104.81 103.11 90.00°
Fractional coordinates of all 4 atoms:
Se: 0.2922 0.7922 0.5845
Fe: 0.9845 0.9845 0.9690
P: 0.5441 0.5441 0.0882
Fe: 0.6791 0.1791 0.3582

- mass density (g/cm3) = 7.1
- V (Å³/atom) = 12.9
- symmetry = Imm2
- raw formation energy (eV per atom) = -0.013

***

[3]
FePSe2 | SCAN | single point on PBEsol structure

Cell: 3.4481 3.4958 6.6905 Å, 90.00 90.00 90.00°
Fractional coordinates of all 4 atoms:
P: 0.0000 0.5000 0.5000
Se: 0.5000 0.0000 0.5000
Se: 0.0000 0.0000 0.0000
Fe: 0.5000 0.5000 0.0000

- mass density (g/cm3) = 5.0
- V (Å³/atom) = 20.2
- symmetry = Pmmm
- raw formation energy (eV per atom) = 0.391

***

[4]
FePSe2 | SCAN | single point on PBEsol structure

Cell: 3.0343 4.5262 4.5262 Å, 90.00 90.00 90.00°
Fractional coordinates of all 4 atoms:
Fe: 0.5000 0.5000 0.5000
P: 0.5000 0.0000 0.0000
Se: 0.0000 0.5000 0.0000
Se: 0.0000 0.0000 0.5000

- mass density (g/cm3) = 6.5
- V (Å³/atom) = 15.5
- symmetry = P4/mmm
- raw formation energy (eV per atom) = 0.634

***

[5]
Fe2PSe | SCAN | single point on PBEsol structure

Cell: 3.1560 3.1560 4.9637 Å, 90.00 90.00 90.00°
Fractional coordinates of all 4 atoms:
Fe: 0.5000 0.5000 0.3008
Se: 0.5000 0.5000 0.8174
Fe: 0.0000 0.0000 0.9704
P: 0.0000 0.0000 0.4114

- mass density (g/cm3) = 7.4
- V (Å³/atom) = 12.4
- symmetry = P4mm
- raw formation energy (eV per atom) = 0.038

***

[6]
FePSe2 | SCAN | single point on PBEsol structure

Cell: 4.4157 4.4157 4.4157 Å, 108.44 109.99 109.99°
Fractional coordinates of all 4 atoms:
P: 0.0000 0.5000 0.5000
Fe: 0.0000 0.0000 0.0000
Se: 0.5000 0.5000 0.0000
Se: 0.5000 0.0000 0.5000

- mass density (g/cm3) = 6.1
- V (Å³/atom) = 16.6
- symmetry = I4/mmm
- raw formation energy (eV per atom) = 0.243

***

[7]
FePSe3 | SCAN | single point on PBEsol structure

Cell: 4.5628 4.5628 4.5628 Å, 90.00 90.00 90.00°
Fractional coordinates of all 5 atoms:
Se: 0.5000 0.0000 0.0000
P: 0.5000 0.5000 0.5000
Se: 0.0000 0.0000 0.5000
Fe: 0.0000 0.0000 0.0000
Se: 0.0000 0.5000 0.0000

- mass density (g/cm3) = 5.7
- V (Å³/atom) = 19.0
- symmetry = Pm-3m
- raw formation energy (eV per atom) = 0.699

***

[8]
FeSnPSe2 | SCAN | single point on PBEsol structure

Cell: 4.9062 5.1660 5.1660 Å, 90.00 90.00 90.00°
Fractional coordinates of all 5 atoms:
Se: 0.0000 0.5000 0.0000
P: 0.5000 0.0000 0.0000
Fe: 0.5000 0.5000 0.5000
Se: 0.0000 0.0000 0.5000
Sn: 0.0000 0.0000 0.0000

- mass density (g/cm3) = 4.6
- V (Å³/atom) = 26.2
- symmetry = P4/mmm
- raw formation energy (eV per atom) = 1.056